A plane-wave DFT calculation with GGA+U was carried out for VCrAsO6 after structural relaxation.

Geometry as CIF:
```
data_VCrAsO6
_chemical_formula_sum 'V2 Cr2 As2 O12'
_symmetry_space_group_name_H-M 'P 1'
_symmetry_Int_Tables_number 1
_symmetry_space_group_name_Hall 'P 1'
_cell_length_a 4.5051
_cell_length_b 4.5051
_cell_length_c 8.9470
_cell_angle_alpha 90.00
_cell_angle_beta 90.00
_cell_angle_gamma 90.00
loop_
_atom_site_label
_atom_site_type_symbol
_atom_site_fract_x
_atom_site_fract_y
_atom_site_fract_z
_atom_site_occupancy
V1 V 0.0000 0.0000 0.0000 1
V2 V 0.5000 0.5000 0.5000 1
Cr1 Cr 0.0000 0.0000 0.3333 1
Cr2 Cr 0.5000 0.5000 0.8333 1
As1 As 0.0000 0.0000 0.6675 1
As2 As 0.5000 0.5000 0.1675 1
O1 O 0.1873 0.1873 0.8285 1
O2 O 0.1937 0.1937 0.5104 1
O3 O 0.2051 0.2051 0.1650 1
O4 O 0.2949 0.7051 0.6650 1
O5 O 0.3063 0.6937 0.0104 1
O6 O 0.3127 0.6873 0.3285 1
O7 O 0.6873 0.3127 0.3285 1
O8 O 0.6937 0.3063 0.0104 1
O9 O 0.7051 0.2949 0.6650 1
O10 O 0.7949 0.7949 0.1650 1
O11 O 0.8063 0.8063 0.5104 1
O12 O 0.8127 0.8127 0.8285 1
```

Properties
Space group = P4_2nm, No. 102
Electronic total energy = -7.17 eV/atom
Crystal system = tetragonal
Calculated volume = 181.6 Å³/cell